Record 1
VASP calculation (PBE-GGA) on a relaxed structure of Tb5TmGa4.

Lattice parameters (Å, degrees): 17.141 3.683 8.714 90.00 94.02 90.00
Space group C2/m (No. 12)
Inequivalent atoms, fractional coordinates:
Tb (0.000, 0.000, 0.000) (multiplicity 2)
Tb (0.150, 0.500, 0.288) (multiplicity 4)
Tb (0.187, 0.500, 0.852) (multiplicity 4)
Tm (0.000, 0.000, 0.500) (multiplicity 2)
Ga (0.023, 0.500, 0.751) (multiplicity 4)
Ga (0.184, 0.000, 0.564) (multiplicity 4)

Total magnetization   0.00 μB per cell
Crystal system   monoclinic
Uncorrected energy   -85.20 eV for the cell shown
Energy relative to the elements   -287 meV per atom

---

Record 2
VASP calculation (PBE-GGA) on a relaxed structure of Tb3TmGa8.

Lattice parameters (Å, degrees): 5.4847 5.4847 27.2485 90.00 90.00 120.00
Space group R3m (No. 160, hexagonal axes)
Inequivalent atoms, fractional coordinates:
Tb (0.0000, 0.0000, 0.0000) (multiplicity 3)
Tb (0.0000, 0.0000, 0.1242) (multiplicity 3)
Tb (0.0000, 0.0000, 0.5005) (multiplicity 3)
Tm (0.0000, 0.0000, 0.6238) (multiplicity 3)
Ga (0.0000, 0.0000, 0.3120) (multiplicity 3)
Ga (0.0000, 0.0000, 0.8123) (multiplicity 3)
Ga (0.9998, 0.4999, 0.0617) (multiplicity 9)
Ga (0.0001, 0.5000, 0.5625) (multiplicity 9)

Total magnetization   0.00 μB per cell
Crystal system   trigonal
Uncorrected energy   -147.69 eV for the cell shown
Energy relative to the elements   -554 meV per atom

---

Record 3
VASP calculation (PBE-GGA) on a relaxed structure of TbTm2Ga.

Lattice parameters (Å, degrees): 4.683 4.683 4.688 90.00 90.00 90.00
Space group P4/mmm (No. 123)
Inequivalent atoms, fractional coordinates:
Tb (0.000, 0.000, 0.000) (multiplicity 1)
Tm (0.000, 0.500, 0.500) (multiplicity 2)
Ga (0.500, 0.500, 0.000) (multiplicity 1)

Total magnetization   0.00 μB per cell
Crystal system   tetragonal
Uncorrected energy   -17.56 eV for the cell shown
E above lowest polymorph   49 meV per atom
Energy relative to the elements   -240 meV per atom

---

Record 4
VASP calculation (PBE-GGA) on a relaxed structure of Tb2TmGa3.

Lattice parameters (Å, degrees): 5.0384 5.0384 12.3786 90.00 90.00 120.00
Space group P-3m1 (No. 164)
Inequivalent atoms, fractional coordinates:
Tb (0.0000, 0.0000, 0.0000) (multiplicity 1)
Tb (0.0000, 0.0000, 0.5000) (multiplicity 1)
Tb (0.3333, 0.6667, 0.1689) (multiplicity 2)
Tm (0.3333, 0.6667, 0.6666) (multiplicity 2)
Ga (0.0000, 0.0000, 0.2518) (multiplicity 2)
Ga (0.3333, 0.6667, 0.4180) (multiplicity 2)
Ga (0.3333, 0.6667, 0.9156) (multiplicity 2)

Total magnetization   0.00 μB per cell
Crystal system   trigonal
Uncorrected energy   -52.58 eV for the cell shown
E above lowest polymorph   0 meV per atom
Energy relative to the elements   -580 meV per atom

---

Record 5
VASP calculation (PBE-GGA) on a relaxed structure of TbTm3Ga3.

Lattice parameters (Å, degrees): 9.0240 9.0240 4.7553 90.00 90.00 120.00
Space group P6_3/m (No. 176)
Inequivalent atoms, fractional coordinates:
Tb (0.3333, 0.6667, 0.2500) (multiplicity 2)
Tm (0.0141, 0.2519, 0.7500) (multiplicity 6)
Ga (0.0594, 0.6096, 0.7500) (multiplicity 6)

Total magnetization   0.00 μB per cell
Crystal system   hexagonal
Uncorrected energy   -60.30 eV for the cell shown
Energy relative to the elements   -432 meV per atom

---

Record 6
VASP calculation (PBE-GGA) on a relaxed structure of TbTm2Ga2.

Lattice parameters (Å, degrees): 7.630 7.630 4.244 90.00 90.00 90.00
Space group P4/mbm (No. 127)
Inequivalent atoms, fractional coordinates:
Tb (0.000, 0.000, 0.000) (multiplicity 2)
Tm (0.174, 0.326, 0.500) (multiplicity 4)
Ga (0.120, 0.620, 0.000) (multiplicity 4)

Total magnetization   0.00 μB per cell
Crystal system   tetragonal
Uncorrected energy   -44.21 eV for the cell shown
E above lowest polymorph   0 meV per atom
Energy relative to the elements   -495 meV per atom

---

Record 7
VASP calculation (PBE-GGA) on a relaxed structure of Tb5TmGa6.

Lattice parameters (Å, degrees): 5.054 15.171 7.146 90.00 90.00 90.00
Space group Cmmm (No. 65)
Inequivalent atoms, fractional coordinates:
Tb (0.000, 0.000, 0.000) (multiplicity 2)
Tb (0.000, 0.332, 0.000) (multiplicity 4)
Tb (0.000, 0.334, 0.500) (multiplicity 4)
Tm (0.000, 0.000, 0.500) (multiplicity 2)
Ga (0.000, 0.165, 0.252) (multiplicity 8)
Ga (0.000, 0.500, 0.252) (multiplicity 4)

Total magnetization   0.00 μB per cell
Crystal system   orthorhombic
Uncorrected energy   -105.57 eV for the cell shown
Energy relative to the elements   -583 meV per atom

---

Record 8
VASP calculation (PBE-GGA) on a relaxed structure of TbTm3Ga2.

Lattice parameters (Å, degrees): 4.866 9.374 6.576 90.00 90.00 90.00
Space group Pmc2_1 (No. 26)
Inequivalent atoms, fractional coordinates:
Tb (0.000, 0.049, 0.000) (multiplicity 2)
Tm (0.000, 0.321, 0.630) (multiplicity 2)
Tm (0.500, 0.186, 0.293) (multiplicity 2)
Tm (0.500, 0.449, 0.924) (multiplicity 2)
Ga (0.000, 0.363, 0.174) (multiplicity 2)
Ga (0.500, 0.138, 0.748) (multiplicity 2)

Total magnetization   0.00 μB per cell
Crystal system   orthorhombic
Uncorrected energy   -53.39 eV for the cell shown
E above lowest polymorph   0 meV per atom
Energy relative to the elements   -432 meV per atom

---

Question: Among the records above, which one has the highest energy relative to the elements?
Answer: TbTm2Ga